Ca5InHg6 | PBE | optimized geometry

Summary:
DFT formation energy: -0.496 eV/atom
SG: C2/m, No. 12
magnetization: 0.000 μB per cell

Geometry as CIF:
```
data_Ca5InHg6
_space_group_name_H-M_alt 'P 1'
_space_group_IT_number 1
_space_group_name_Hall 'P 1'
_cell_length_a 9.226
_cell_length_b 9.226
_cell_length_c 5.283
_cell_angle_alpha 106.58
_cell_angle_beta 106.58
_cell_angle_gamma 119.93
loop_
_atom_site_label
_atom_site_fract_x
_atom_site_fract_y
_atom_site_fract_z
Ca1 0.000 0.000 0.000
Ca2 0.169 0.831 0.500
Ca3 0.339 0.661 0.000
Ca4 0.661 0.339 0.000
Ca5 0.831 0.169 0.500
In1 0.500 0.500 0.500
Hg1 0.079 0.415 0.247
Hg2 0.242 0.242 0.740
Hg3 0.415 0.079 0.247
Hg4 0.585 0.921 0.753
Hg5 0.758 0.758 0.260
Hg6 0.921 0.585 0.753
```